Entry 1:
# Pm2Be3Ir2 PBE-GGA optimized geometry
# Energy relative to the elements ... -0.48 eV per atom
# V ... 17.21 A^3/atom
# Density of states at the Fermi level ... 8.69 states/eV/cell
# Energy above the most stable polymorph in this dataset ... 0 meV per atom
data_Pm2Be3Ir2
_space_group_name_H-M_alt 'P 1'
_space_group_IT_number 1
_cell_length_a 10.470
_cell_length_b 3.697
_cell_length_c 7.025
_cell_angle_alpha 90.00
_cell_angle_beta 117.64
_cell_angle_gamma 90.00
loop_
_space_group_symop_operation_xyz
'x,y,z'
loop_
_atom_site_label
_atom_site_type_symbol
_atom_site_fract_x
_atom_site_fract_y
_atom_site_fract_z
_atom_site_occupancy
Pm1 Pm 0.137 0.000 0.253 1
Pm2 Pm 0.363 0.500 0.747 1
Pm3 Pm 0.637 0.500 0.253 1
Pm4 Pm 0.863 0.000 0.747 1
Be1 Be 0.000 0.500 0.500 1
Be2 Be 0.171 0.500 0.937 1
Be3 Be 0.329 0.000 0.063 1
Be4 Be 0.500 0.000 0.500 1
Be5 Be 0.671 0.000 0.937 1
Be6 Be 0.829 0.500 0.063 1
Ir1 Ir 0.131 0.000 0.704 1
Ir2 Ir 0.369 0.500 0.296 1
Ir3 Ir 0.631 0.500 0.704 1
Ir4 Ir 0.869 0.000 0.296 1


Entry 2:
# Yb3Ce PBE-GGA optimized geometry
# Energy relative to the elements ... 0.04 eV per atom
# V ... 34.28 A^3/atom
# Density of states at the Fermi level ... 85.36 states/eV/cell
data_Yb3Ce
_space_group_name_H-M_alt 'P 1'
_space_group_IT_number 1
_cell_length_a 8.185
_cell_length_b 8.185
_cell_length_c 8.185
_cell_angle_alpha 90.00
_cell_angle_beta 90.00
_cell_angle_gamma 90.00
loop_
_space_group_symop_operation_xyz
'x,y,z'
loop_
_atom_site_label
_atom_site_type_symbol
_atom_site_fract_x
_atom_site_fract_y
_atom_site_fract_z
_atom_site_occupancy
Yb1 Yb 0.000 0.000 0.000 1
Yb2 Yb 0.000 0.500 0.500 1
Yb3 Yb 0.250 0.250 0.250 1
Yb4 Yb 0.250 0.250 0.750 1
Yb5 Yb 0.250 0.750 0.250 1
Yb6 Yb 0.250 0.750 0.750 1
Yb7 Yb 0.500 0.000 0.500 1
Yb8 Yb 0.500 0.500 0.000 1
Yb9 Yb 0.750 0.250 0.250 1
Yb10 Yb 0.750 0.250 0.750 1
Yb11 Yb 0.750 0.750 0.250 1
Yb12 Yb 0.750 0.750 0.750 1
Ce1 Ce 0.000 0.000 0.500 1
Ce2 Ce 0.000 0.500 0.000 1
Ce3 Ce 0.500 0.000 0.000 1
Ce4 Ce 0.500 0.500 0.500 1


Entry 3:
# LiTcPb3 PBE-GGA optimized geometry
# Energy relative to the elements ... 0.87 eV per atom
# V ... 26.03 A^3/atom
# Density of states at the Fermi level ... 4.91 states/eV/cell
# Energy above the most stable polymorph in this dataset ... 498 meV per atom
data_LiTcPb3
_space_group_name_H-M_alt 'P 1'
_space_group_IT_number 1
_cell_length_a 5.068
_cell_length_b 5.068
_cell_length_c 5.068
_cell_angle_alpha 90.00
_cell_angle_beta 90.00
_cell_angle_gamma 90.00
loop_
_space_group_symop_operation_xyz
'x,y,z'
loop_
_atom_site_label
_atom_site_type_symbol
_atom_site_fract_x
_atom_site_fract_y
_atom_site_fract_z
_atom_site_occupancy
Li1 Li 0.000 0.000 0.000 1
Tc1 Tc 0.500 0.500 0.500 1
Pb1 Pb 0.000 0.000 0.500 1
Pb2 Pb 0.000 0.500 0.000 1
Pb3 Pb 0.500 0.000 0.000 1


Entry 4:
# ZrIrRu2 PBE-GGA optimized geometry
# Energy relative to the elements ... -0.35 eV per atom
# V ... 15.70 A^3/atom
# Density of states at the Fermi level ... 4.52 states/eV/cell
# Energy above the most stable polymorph in this dataset ... 0 meV per atom
data_ZrIrRu2
_space_group_name_H-M_alt 'P 1'
_space_group_IT_number 1
_cell_length_a 3.957
_cell_length_b 3.957
_cell_length_c 4.009
_cell_angle_alpha 90.00
_cell_angle_beta 90.00
_cell_angle_gamma 90.00
loop_
_space_group_symop_operation_xyz
'x,y,z'
loop_
_atom_site_label
_atom_site_type_symbol
_atom_site_fract_x
_atom_site_fract_y
_atom_site_fract_z
_atom_site_occupancy
Zr1 Zr 0.000 0.000 0.000 1
Ir1 Ir 0.500 0.500 0.000 1
Ru1 Ru 0.000 0.500 0.500 1
Ru2 Ru 0.500 0.000 0.500 1


Entry 5:
# Ti3Zn3Ni PBE-GGA optimized geometry
# Energy relative to the elements ... -0.10 eV per atom
# V ... 15.86 A^3/atom
# Density of states at the Fermi level ... 29.31 states/eV/cell
data_Ti3Zn3Ni
_space_group_name_H-M_alt 'P 1'
_space_group_IT_number 1
_cell_length_a 8.564
_cell_length_b 8.564
_cell_length_c 8.564
_cell_angle_alpha 60.00
_cell_angle_beta 60.00
_cell_angle_gamma 60.00
loop_
_space_group_symop_operation_xyz
'x,y,z'
loop_
_atom_site_label
_atom_site_type_symbol
_atom_site_fract_x
_atom_site_fract_y
_atom_site_fract_z
_atom_site_occupancy
Ti1 Ti 0.087 0.087 0.663 1
Ti2 Ti 0.087 0.663 0.087 1
Ti3 Ti 0.087 0.663 0.663 1
Ti4 Ti 0.337 0.337 0.913 1
Ti5 Ti 0.337 0.913 0.337 1
Ti6 Ti 0.337 0.913 0.913 1
Ti7 Ti 0.663 0.087 0.087 1
Ti8 Ti 0.663 0.087 0.663 1
Ti9 Ti 0.663 0.663 0.087 1
Ti10 Ti 0.913 0.337 0.337 1
Ti11 Ti 0.913 0.337 0.913 1
Ti12 Ti 0.913 0.913 0.337 1
Zn1 Zn 0.000 0.500 0.500 1
Zn2 Zn 0.286 0.286 0.286 1
Zn3 Zn 0.286 0.286 0.642 1
Zn4 Zn 0.286 0.642 0.286 1
Zn5 Zn 0.358 0.714 0.714 1
Zn6 Zn 0.500 0.000 0.500 1
Zn7 Zn 0.500 0.500 0.000 1
Zn8 Zn 0.500 0.500 0.500 1
Zn9 Zn 0.642 0.286 0.286 1
Zn10 Zn 0.714 0.358 0.714 1
Zn11 Zn 0.714 0.714 0.358 1
Zn12 Zn 0.714 0.714 0.714 1
Ni1 Ni 0.000 0.000 0.000 1
Ni2 Ni 0.000 0.000 0.500 1
Ni3 Ni 0.000 0.500 0.000 1
Ni4 Ni 0.500 0.000 0.000 1


Entry 6:
# TlZnP PBE-GGA optimized geometry
# Energy relative to the elements ... -0.06 eV per atom
# V ... 23.22 A^3/atom
# Density of states at the Fermi level ... 0.66 states/eV/cell
data_TlZnP
_space_group_name_H-M_alt 'P 1'
_space_group_IT_number 1
_cell_length_a 3.994
_cell_length_b 3.994
_cell_length_c 8.733
_cell_angle_alpha 90.00
_cell_angle_beta 90.16
_cell_angle_gamma 90.00
loop_
_space_group_symop_operation_xyz
'x,y,z'
loop_
_atom_site_label
_atom_site_type_symbol
_atom_site_fract_x
_atom_site_fract_y
_atom_site_fract_z
_atom_site_occupancy
Tl1 Tl 0.247 0.250 0.157 1
Tl2 Tl 0.753 0.750 0.843 1
Zn1 Zn 0.250 0.750 0.500 1
Zn2 Zn 0.750 0.250 0.500 1
P1 P 0.251 0.250 0.672 1
P2 P 0.749 0.750 0.328 1


Entry 7:
# Pm3NdP4 PBE-GGA optimized geometry
# Energy relative to the elements ... -1.56 eV per atom
# V ... 25.11 A^3/atom
# Density of states at the Fermi level ... 1.36 states/eV/cell
data_Pm3NdP4
_space_group_name_H-M_alt 'P 1'
_space_group_IT_number 1
_cell_length_a 8.282
_cell_length_b 11.707
_cell_length_c 4.143
_cell_angle_alpha 90.00
_cell_angle_beta 90.00
_cell_angle_gamma 90.00
loop_
_space_group_symop_operation_xyz
'x,y,z'
loop_
_atom_site_label
_atom_site_type_symbol
_atom_site_fract_x
_atom_site_fract_y
_atom_site_fract_z
_atom_site_occupancy
Pm1 Pm 0.000 0.000 0.000 1
Pm2 Pm 0.250 0.250 0.500 1
Pm3 Pm 0.250 0.750 0.500 1
Pm4 Pm 0.500 0.500 0.000 1
Pm5 Pm 0.750 0.250 0.500 1
Pm6 Pm 0.750 0.750 0.500 1
Nd1 Nd 0.000 0.500 0.000 1
Nd2 Nd 0.500 0.000 0.000 1
P1 P 0.000 0.249 0.000 1
P2 P 0.000 0.751 0.000 1
P3 P 0.249 0.000 0.500 1
P4 P 0.251 0.500 0.500 1
P5 P 0.500 0.251 0.000 1
P6 P 0.500 0.749 0.000 1
P7 P 0.749 0.500 0.500 1
P8 P 0.751 0.000 0.500 1


Entry 8:
# LiAc2Ir2 PBE-GGA optimized geometry
# Energy relative to the elements ... -0.49 eV per atom
# V ... 23.86 A^3/atom
# Density of states at the Fermi level ... 5.32 states/eV/cell
# Energy above the most stable polymorph in this dataset ... 0 meV per atom
data_LiAc2Ir2
_space_group_name_H-M_alt 'P 1'
_space_group_IT_number 1
_cell_length_a 4.347
_cell_length_b 6.184
_cell_length_c 8.875
_cell_angle_alpha 90.00
_cell_angle_beta 90.00
_cell_angle_gamma 90.00
loop_
_space_group_symop_operation_xyz
'x,y,z'
loop_
_atom_site_label
_atom_site_type_symbol
_atom_site_fract_x
_atom_site_fract_y
_atom_site_fract_z
_atom_site_occupancy
Li1 Li 0.000 0.000 0.000 1
Li2 Li 0.500 0.500 0.500 1
Ac1 Ac 0.000 0.500 0.200 1
Ac2 Ac 0.000 0.500 0.800 1
Ac3 Ac 0.500 0.000 0.300 1
Ac4 Ac 0.500 0.000 0.700 1
Ir1 Ir 0.000 0.242 0.500 1
Ir2 Ir 0.000 0.758 0.500 1
Ir3 Ir 0.500 0.258 0.000 1
Ir4 Ir 0.500 0.742 0.000 1


Entry 9:
# PmRhSe PBE-GGA optimized geometry
# Formation energy without anion corrections ... -1.030 eV per atom
# V ... 21.82 A^3/atom
# Density of states at the Fermi level ... 5.18 states/eV/cell
# Energy above the most stable polymorph in this dataset ... 160 meV per atom
data_PmRhSe
_space_group_name_H-M_alt 'P 1'
_space_group_IT_number 1
_cell_length_a 11.149
_cell_length_b 4.218
_cell_length_c 7.699
_cell_angle_alpha 90.00
_cell_angle_beta 133.68
_cell_angle_gamma 90.00
loop_
_space_group_symop_operation_xyz
'x,y,z'
loop_
_atom_site_label
_atom_site_type_symbol
_atom_site_fract_x
_atom_site_fract_y
_atom_site_fract_z
_atom_site_occupancy
Pm1 Pm 0.018 0.000 0.264 1
Pm2 Pm 0.482 0.500 0.736 1
Pm3 Pm 0.518 0.500 0.264 1
Pm4 Pm 0.982 0.000 0.736 1
Rh1 Rh 0.163 0.500 0.154 1
Rh2 Rh 0.337 0.000 0.846 1
Rh3 Rh 0.663 0.000 0.154 1
Rh4 Rh 0.837 0.500 0.846 1
Se1 Se 0.191 0.500 0.706 1
Se2 Se 0.309 0.000 0.294 1
Se3 Se 0.691 0.000 0.706 1
Se4 Se 0.809 0.500 0.294 1


Entry 10:
# AcTiRuO6 PBE-GGA optimized geometry
# Formation energy without anion corrections ... -2.369 eV per atom
# V ... 14.16 A^3/atom
data_AcTiRuO6
_space_group_name_H-M_alt 'P 1'
_space_group_IT_number 1
_cell_length_a 5.230
_cell_length_b 5.230
_cell_length_c 10.762
_cell_angle_alpha 90.00
_cell_angle_beta 90.00
_cell_angle_gamma 120.00
loop_
_space_group_symop_operation_xyz
'x,y,z'
loop_
_atom_site_label
_atom_site_type_symbol
_atom_site_fract_x
_atom_site_fract_y
_atom_site_fract_z
_atom_site_occupancy
Ac1 Ac 0.000 0.000 0.000 1
Ac2 Ac 0.000 0.000 0.500 1
Ti1 Ti 0.333 0.667 0.250 1
Ti2 Ti 0.667 0.333 0.750 1
Ru1 Ru 0.333 0.667 0.750 1
Ru2 Ru 0.667 0.333 0.250 1
O1 O 0.000 0.377 0.147 1
O2 O 0.000 0.377 0.647 1
O3 O 0.000 0.623 0.353 1
O4 O 0.000 0.623 0.853 1
O5 O 0.377 0.000 0.147 1
O6 O 0.377 0.000 0.647 1
O7 O 0.377 0.377 0.353 1
O8 O 0.377 0.377 0.853 1
O9 O 0.623 0.000 0.353 1
O10 O 0.623 0.000 0.853 1
O11 O 0.623 0.623 0.147 1
O12 O 0.623 0.623 0.647 1


Entry 11:
# Ca2ZrBr PBE-GGA optimized geometry
# Formation energy without anion corrections ... -0.278 eV per atom
# V ... 29.99 A^3/atom
# Density of states at the Fermi level ... 7.01 states/eV/cell
# Energy above the most stable polymorph in this dataset ... 196 meV per atom
data_Ca2ZrBr
_space_group_name_H-M_alt 'P 1'
_space_group_IT_number 1
_cell_length_a 3.651
_cell_length_b 3.651
_cell_length_c 31.176
_cell_angle_alpha 90.00
_cell_angle_beta 90.00
_cell_angle_gamma 120.00
loop_
_space_group_symop_operation_xyz
'x,y,z'
loop_
_atom_site_label
_atom_site_type_symbol
_atom_site_fract_x
_atom_site_fract_y
_atom_site_fract_z
_atom_site_occupancy
Ca1 Ca 0.000 0.000 0.000 1
Ca2 Ca 0.000 0.000 0.229 1
Ca3 Ca 0.333 0.667 0.667 1
Ca4 Ca 0.333 0.667 0.896 1
Ca5 Ca 0.667 0.333 0.333 1
Ca6 Ca 0.667 0.333 0.563 1
Zr1 Zr 0.000 0.000 0.752 1
Zr2 Zr 0.333 0.667 0.418 1
Zr3 Zr 0.667 0.333 0.085 1
Br1 Br 0.000 0.000 0.481 1
Br2 Br 0.333 0.667 0.148 1
Br3 Br 0.667 0.333 0.815 1


Entry 12:
# PtSCl2F PBE-GGA optimized geometry
# Formation energy without anion corrections ... 0.192 eV per atom
# V ... 21.88 A^3/atom
# Density of states at the Fermi level ... 6.99 states/eV/cell
# Energy above the most stable polymorph in this dataset ... 0 meV per atom
data_PtSCl2F
_space_group_name_H-M_alt 'P 1'
_space_group_IT_number 1
_cell_length_a 4.949
_cell_length_b 4.949
_cell_length_c 4.467
_cell_angle_alpha 90.00
_cell_angle_beta 90.00
_cell_angle_gamma 90.00
loop_
_space_group_symop_operation_xyz
'x,y,z'
loop_
_atom_site_label
_atom_site_type_symbol
_atom_site_fract_x
_atom_site_fract_y
_atom_site_fract_z
_atom_site_occupancy
Pt1 Pt 0.000 0.000 0.000 1
S1 S 0.000 0.000 0.500 1
Cl1 Cl 0.000 0.500 0.000 1
Cl2 Cl 0.500 0.000 0.000 1
F1 F 0.500 0.500 0.500 1


Q: Among the records above, which one has the highest V?
A: Yb3Ce


Q: Which value of V does entry 7 give?
A: 25.11 A^3/atom


What did the tenth record say?
# AcTiRuO6 PBE-GGA optimized geometry
# Formation energy without anion corrections ... -2.369 eV per atom
# V ... 14.16 A^3/atom
data_AcTiRuO6
_space_group_name_H-M_alt 'P 1'
_space_group_IT_number 1
_cell_length_a 5.230
_cell_length_b 5.230
_cell_length_c 10.762
_cell_angle_alpha 90.00
_cell_angle_beta 90.00
_cell_angle_gamma 120.00
loop_
_space_group_symop_operation_xyz
'x,y,z'
loop_
_atom_site_label
_atom_site_type_symbol
_atom_site_fract_x
_atom_site_fract_y
_atom_site_fract_z
_atom_site_occupancy
Ac1 Ac 0.000 0.000 0.000 1
Ac2 Ac 0.000 0.000 0.500 1
Ti1 Ti 0.333 0.667 0.250 1
Ti2 Ti 0.667 0.333 0.750 1
Ru1 Ru 0.333 0.667 0.750 1
Ru2 Ru 0.667 0.333 0.250 1
O1 O 0.000 0.377 0.147 1
O2 O 0.000 0.377 0.647 1
O3 O 0.000 0.623 0.353 1
O4 O 0.000 0.623 0.853 1
O5 O 0.377 0.000 0.147 1
O6 O 0.377 0.000 0.647 1
O7 O 0.377 0.377 0.353 1
O8 O 0.377 0.377 0.853 1
O9 O 0.623 0.000 0.353 1
O10 O 0.623 0.000 0.853 1
O11 O 0.623 0.623 0.147 1
O12 O 0.623 0.623 0.647 1


Please write out number 9 again, unchanged.
# PmRhSe PBE-GGA optimized geometry
# Formation energy without anion corrections ... -1.030 eV per atom
# V ... 21.82 A^3/atom
# Density of states at the Fermi level ... 5.18 states/eV/cell
# Energy above the most stable polymorph in this dataset ... 160 meV per atom
data_PmRhSe
_space_group_name_H-M_alt 'P 1'
_space_group_IT_number 1
_cell_length_a 11.149
_cell_length_b 4.218
_cell_length_c 7.699
_cell_angle_alpha 90.00
_cell_angle_beta 133.68
_cell_angle_gamma 90.00
loop_
_space_group_symop_operation_xyz
'x,y,z'
loop_
_atom_site_label
_atom_site_type_symbol
_atom_site_fract_x
_atom_site_fract_y
_atom_site_fract_z
_atom_site_occupancy
Pm1 Pm 0.018 0.000 0.264 1
Pm2 Pm 0.482 0.500 0.736 1
Pm3 Pm 0.518 0.500 0.264 1
Pm4 Pm 0.982 0.000 0.736 1
Rh1 Rh 0.163 0.500 0.154 1
Rh2 Rh 0.337 0.000 0.846 1
Rh3 Rh 0.663 0.000 0.154 1
Rh4 Rh 0.837 0.500 0.846 1
Se1 Se 0.191 0.500 0.706 1
Se2 Se 0.309 0.000 0.294 1
Se3 Se 0.691 0.000 0.706 1
Se4 Se 0.809 0.500 0.294 1